Compound: HfBeNi3
Source: Alexandria via LeMat-Bulk
Functional: GGA-PBE
Structure: relaxed

It has space group Pm-3m (No. 221), with a = 4.522 Å, b = 4.522 Å, c = 4.522 Å, α = 90.00°, β = 90.00° and γ = 90.00°. Symmetry generates all atoms from Hf at (0.000, 0.000, 0.000), Be at (0.500, 0.500, 0.500) and Ni at (0.000, 0.000, 0.500).

The value obtained for the calculated density is 6.5 g cm⁻³. The value obtained for the excess energy over the best structure of this formula in the dataset is 1.591 eV per atom. As for the calculated total energy: -4.79 eV/atom. As for the crystal system: cubic. As for the energy of formation from the pure elements: 1412 meV/atom.

---

Compound: CuSnSe
Source: Alexandria via LeMat-Bulk
Functional: GGA-PBE
Structure: relaxed

It has space group Cmcm (No. 63), with a = 3.793 Å, b = 11.897 Å, c = 5.837 Å, α = 90.00°, β = 90.00° and γ = 90.00°. Symmetry generates all atoms from Cu at (0.000, 0.034, 0.250), Sn at (0.000, 0.375, 0.250) and Se at (0.000, 0.337, 0.750).

The value obtained for the calculated density is 6.6 g cm⁻³. As for the calculated total energy: -3.99 eV/atom. As for the crystal system: orthorhombic. The value obtained for the raw formation energy is -125 meV/atom.

---

| no. | density of states at the Fermi level (states/eV per atom) |
| --- | --- |
| 1 | 0.4954 |
| 2 | 0.2747 |